# 1
# Hg2Pd3Pt PBE relaxed
# Crystal system: orthorhombic
# ΔE_f: -0.09 eV per atom
# Total energy: -22.8 eV/f.u.
data_Hg2Pd3Pt
_chemical_formula_sum 'Hg4 Pd6 Pt2'
_cell_length_a 6.722
_cell_length_b 6.722
_cell_length_c 7.576
_cell_angle_alpha 90.00
_cell_angle_beta 90.00
_cell_angle_gamma 143.04
_symmetry_space_group_name_H-M 'P 1'
_symmetry_Int_Tables_number 1
_symmetry_space_group_name_Hall 'P 1'
loop_
_atom_site_label
_atom_site_type_symbol
_atom_site_fract_x
_atom_site_fract_y
_atom_site_fract_z
_atom_site_occupancy
Hg1 Hg 0.000 0.000 0.000 1
Hg2 Hg 0.000 0.000 0.500 1
Hg3 Hg 0.335 0.665 0.000 1
Hg4 Hg 0.665 0.335 0.000 1
Pd1 Pd 0.168 0.832 0.255 1
Pd2 Pd 0.168 0.832 0.745 1
Pd3 Pd 0.500 0.500 0.259 1
Pd4 Pd 0.500 0.500 0.741 1
Pd5 Pd 0.832 0.168 0.255 1
Pd6 Pd 0.832 0.168 0.745 1
Pt1 Pt 0.327 0.673 0.500 1
Pt2 Pt 0.673 0.327 0.500 1

***

# 2
# HgPd4Pt PBE relaxed
# Crystal system: monoclinic
# Relative energy among the computed polymorphs: 59 meV/atom
# ΔE_f: -0.01 eV per atom
# Total energy: -27.2 eV/f.u.
data_HgPd4Pt
_chemical_formula_sum 'Hg1 Pd4 Pt1'
_cell_length_a 4.419
_cell_length_b 4.419
_cell_length_c 5.620
_cell_angle_alpha 97.00
_cell_angle_beta 97.00
_cell_angle_gamma 65.03
_symmetry_space_group_name_H-M 'P 1'
_symmetry_Int_Tables_number 1
_symmetry_space_group_name_Hall 'P 1'
loop_
_atom_site_label
_atom_site_type_symbol
_atom_site_fract_x
_atom_site_fract_y
_atom_site_fract_z
_atom_site_occupancy
Hg1 Hg 0.000 0.000 0.000 1
Pd1 Pd 0.332 0.332 0.827 1
Pd2 Pd 0.336 0.336 0.339 1
Pd3 Pd 0.664 0.664 0.661 1
Pd4 Pd 0.668 0.668 0.173 1
Pt1 Pt 0.000 0.000 0.500 1